Crystalline GeTe3As at its relaxed geometry. Source: Alexandria, functional PBEsol.

Geometry as CIF:
```
data_GeTe3As
_chemical_formula_sum 'Ge1 Te3 As1'
_cell_length_a 5.316
_cell_length_b 5.316
_cell_length_c 5.316
_cell_angle_alpha 90.00
_cell_angle_beta 90.00
_cell_angle_gamma 90.00
_space_group_name_H-M_alt 'P m -3 m'
_space_group_IT_number 221
_space_group_name_Hall '-P 4 2 3'
loop_
_atom_site_label
_atom_site_type_symbol
_atom_site_fract_x
_atom_site_fract_y
_atom_site_fract_z
Ge1 Ge 0.000 0.000 0.000
Te1 Te 0.000 0.500 0.500
As1 As 0.500 0.500 0.500
```

## Properties
* calculated total energy: -3.54 eV/atom
* formation energy from raw total energies: 0.582 eV per atom

Crystalline ZrMn6Sn6 at its relaxed geometry. Source: Alexandria, functional PBEsol.

Geometry as CIF:
```
data_ZrMn6Sn6
_chemical_formula_sum 'Zr1 Mn6 Sn6'
_cell_length_a 5.3167
_cell_length_b 5.3167
_cell_length_c 8.8050
_cell_angle_alpha 90.00
_cell_angle_beta 90.00
_cell_angle_gamma 120.00
_space_group_name_H-M_alt 'P 6/m m m'
_space_group_IT_number 191
_space_group_name_Hall '-P 6 2'
loop_
_atom_site_label
_atom_site_type_symbol
_atom_site_fract_x
_atom_site_fract_y
_atom_site_fract_z
Zr1 Zr 0.0000 0.0000 0.0000
Mn1 Mn 0.0000 0.5000 0.2473
Sn1 Sn 0.0000 0.0000 0.3285
Sn2 Sn 0.3333 0.6667 0.0000
Sn3 Sn 0.3333 0.6667 0.5000
```

## Properties
* calculated total energy: -7.27 eV/atom
* E_form: -1.30 eV/f.u.

Crystalline TaInNi2 at its relaxed geometry. Source: Alexandria, functional PBEsol.

Geometry as CIF:
```
data_TaInNi2
_chemical_formula_sum 'Ta2 In2 Ni4'
_cell_length_a 9.105
_cell_length_b 2.874
_cell_length_c 4.544
_cell_angle_alpha 90.00
_cell_angle_beta 103.26
_cell_angle_gamma 90.00
_space_group_name_H-M_alt 'C 1 m 1'
_space_group_IT_number 8
_space_group_name_Hall 'C -2y'
loop_
_atom_site_label
_atom_site_type_symbol
_atom_site_fract_x
_atom_site_fract_y
_atom_site_fract_z
Ta1 Ta 0.000 0.000 0.000
In1 In 0.228 0.000 0.642
Ni1 Ni 0.248 0.500 0.160
Ni2 Ni 0.477 0.000 0.462
```

## Properties
* calculated total energy: -7.00 eV/atom
* E_form: -0.15 eV/f.u.

Crystalline TcWAu2 at its relaxed geometry. Source: Alexandria, functional PBEsol.

Geometry as CIF:
```
data_TcWAu2
_chemical_formula_sum 'Tc1 W1 Au2'
_cell_length_a 2.843
_cell_length_b 3.908
_cell_length_c 5.728
_cell_angle_alpha 90.00
_cell_angle_beta 92.50
_cell_angle_gamma 90.00
_space_group_name_H-M_alt 'P 1 m 1'
_space_group_IT_number 6
_space_group_name_Hall 'P -2y'
loop_
_atom_site_label
_atom_site_type_symbol
_atom_site_fract_x
_atom_site_fract_y
_atom_site_fract_z
Tc1 Tc 0.000 0.000 0.000
W1 W 0.371 0.500 0.216
Au1 Au 0.443 0.500 0.735
Au2 Au 0.929 0.000 0.482
```

## Properties
* calculated total energy: -8.00 eV/atom
* energy above the most stable polymorph in this dataset: 0 kJ/mol of formula units
* E_form: 0.92 eV/f.u.

Crystalline Be2TeMoPt at its relaxed geometry. Source: Alexandria, functional PBEsol.

Geometry as CIF:
```
data_Be2TeMoPt
_chemical_formula_sum 'Be2 Te1 Mo1 Pt1'
_cell_length_a 4.384
_cell_length_b 4.384
_cell_length_c 5.054
_cell_angle_alpha 90.00
_cell_angle_beta 90.00
_cell_angle_gamma 90.00
_space_group_name_H-M_alt 'P 4/m m m'
_space_group_IT_number 123
_space_group_name_Hall '-P 4 2'
loop_
_atom_site_label
_atom_site_type_symbol
_atom_site_fract_x
_atom_site_fract_y
_atom_site_fract_z
Be1 Be 0.000 0.500 0.000
Te1 Te 0.000 0.000 0.000
Mo1 Mo 0.500 0.500 0.500
Pt1 Pt 0.000 0.000 0.500
```

## Properties
* calculated total energy: -4.39 eV/atom
* formation energy from raw total energies: 1.665 eV per atom

Crystalline Al2InMo at its relaxed geometry. Source: Alexandria, functional PBEsol.

Geometry as CIF:
```
data_Al2InMo
_chemical_formula_sum 'Al4 In2 Mo2'
_cell_length_a 5.668
_cell_length_b 8.185
_cell_length_c 2.877
_cell_angle_alpha 90.00
_cell_angle_beta 90.00
_cell_angle_gamma 90.00
_space_group_name_H-M_alt 'C m m m'
_space_group_IT_number 65
_space_group_name_Hall '-C 2 2'
loop_
_atom_site_label
_atom_site_type_symbol
_atom_site_fract_x
_atom_site_fract_y
_atom_site_fract_z
Al1 Al 0.250 0.250 0.000
In1 In 0.000 0.000 0.500
Mo1 Mo 0.000 0.500 0.500
```

## Properties
* calculated total energy: -5.60 eV/atom
* E_form: 0.55 eV/f.u.

Crystalline TlAs2PtSe at its relaxed geometry. Source: Alexandria, functional PBEsol.

Geometry as CIF:
```
data_TlAs2PtSe
_chemical_formula_sum 'Tl1 As2 Pt1 Se1'
_cell_length_a 4.812
_cell_length_b 4.812
_cell_length_c 5.330
_cell_angle_alpha 90.00
_cell_angle_beta 90.00
_cell_angle_gamma 90.00
_space_group_name_H-M_alt 'P 4/m m m'
_space_group_IT_number 123
_space_group_name_Hall '-P 4 2'
loop_
_atom_site_label
_atom_site_type_symbol
_atom_site_fract_x
_atom_site_fract_y
_atom_site_fract_z
Tl1 Tl 0.000 0.000 0.000
As1 As 0.000 0.500 0.500
Pt1 Pt 0.500 0.500 0.500
Se1 Se 0.500 0.500 0.000
```

## Properties
* calculated total energy: -4.36 eV/atom
* formation energy from raw total energies: 0.369 eV per atom

Crystalline AgF3 at its relaxed geometry. Source: Alexandria, functional PBEsol.

Geometry as CIF:
```
data_AgF3
_chemical_formula_sum 'Ag6 F18'
_cell_length_a 5.0264
_cell_length_b 5.0264
_cell_length_c 15.1087
_cell_angle_alpha 90.00
_cell_angle_beta 90.00
_cell_angle_gamma 120.00
_space_group_name_H-M_alt 'P 61 2 2'
_space_group_IT_number 178
_space_group_name_Hall 'P 61 2 (0 0 5)'
loop_
_atom_site_label
_atom_site_type_symbol
_atom_site_fract_x
_atom_site_fract_y
_atom_site_fract_z
Ag1 Ag 0.2909 0.5817 0.2500
F1 F 0.0000 0.2530 0.3333
F2 F 0.1037 0.4425 0.6649
```

## Properties
* calculated total energy: -3.29 eV/atom
* formation energy from raw total energies: -1.020 eV per atom

Crystalline Na4Al3Ge3ClO12 at its relaxed geometry. Source: Alexandria, functional PBEsol.

Geometry as CIF:
```
data_Na4Al3Ge3ClO12
_chemical_formula_sum 'Na8 Al6 Ge6 Cl2 O24'
_cell_length_a 9.052
_cell_length_b 9.052
_cell_length_c 9.052
_cell_angle_alpha 90.00
_cell_angle_beta 90.00
_cell_angle_gamma 90.00
_space_group_name_H-M_alt 'P -4 3 n'
_space_group_IT_number 218
_space_group_name_Hall 'P -4n 2 3'
loop_
_atom_site_label
_atom_site_type_symbol
_atom_site_fract_x
_atom_site_fract_y
_atom_site_fract_z
Na1 Na 0.171 0.171 0.171
Al1 Al 0.000 0.250 0.500
Ge1 Ge 0.000 0.500 0.250
Cl1 Cl 0.000 0.000 0.000
O1 O 0.076 0.357 0.643
```

## Properties
* calculated total energy: -6.47 eV/atom
* formation energy from raw total energies: -2.221 eV per atom

Crystalline AlOsI3 at its relaxed geometry. Source: Alexandria, functional PBEsol.

Geometry as CIF:
```
data_AlOsI3
_chemical_formula_sum 'Al1 Os1 I3'
_cell_length_a 5.337
_cell_length_b 5.337
_cell_length_c 5.337
_cell_angle_alpha 90.00
_cell_angle_beta 90.00
_cell_angle_gamma 90.00
_space_group_name_H-M_alt 'P m -3 m'
_space_group_IT_number 221
_space_group_name_Hall '-P 4 2 3'
loop_
_atom_site_label
_atom_site_type_symbol
_atom_site_fract_x
_atom_site_fract_y
_atom_site_fract_z
Al1 Al 0.000 0.000 0.000
Os1 Os 0.500 0.500 0.500
I1 I 0.000 0.500 0.500
```

## Properties
* calculated total energy: -3.65 eV/atom
* formation energy from raw total energies: 0.674 eV per atom

Crystalline Tc2MoP at its relaxed geometry. Source: Alexandria, functional PBEsol.

Geometry as CIF:
```
data_Tc2MoP
_chemical_formula_sum 'Tc2 Mo1 P1'
_cell_length_a 4.231
_cell_length_b 4.231
_cell_length_c 3.034
_cell_angle_alpha 90.00
_cell_angle_beta 90.00
_cell_angle_gamma 90.00
_space_group_name_H-M_alt 'P 4/m m m'
_space_group_IT_number 123
_space_group_name_Hall '-P 4 2'
loop_
_atom_site_label
_atom_site_type_symbol
_atom_site_fract_x
_atom_site_fract_y
_atom_site_fract_z
Tc1 Tc 0.000 0.500 0.000
Mo1 Mo 0.000 0.000 0.500
P1 P 0.500 0.500 0.500
```

## Properties
* calculated total energy: -10.11 eV/atom
* E_form: -0.35 eV/f.u.

Crystalline Dy2P4O13 at its relaxed geometry. Source: Alexandria, functional PBEsol.

Geometry as CIF:
```
data_Dy2P4O13
_chemical_formula_sum 'Dy8 P16 O52'
_cell_length_a 8.967
_cell_length_b 9.593
_cell_length_c 14.060
_cell_angle_alpha 90.00
_cell_angle_beta 107.67
_cell_angle_gamma 90.00
_space_group_name_H-M_alt 'P 1 21/c 1'
_space_group_IT_number 14
_space_group_name_Hall '-P 2ybc'
loop_
_atom_site_label
_atom_site_type_symbol
_atom_site_fract_x
_atom_site_fract_y
_atom_site_fract_z
Dy1 Dy 0.208 0.005 0.011
Dy2 Dy 0.288 0.004 0.501
P1 P 0.027 0.224 0.593
P2 P 0.091 0.238 0.314
P3 P 0.248 0.727 0.192
P4 P 0.457 0.720 0.411
O1 O 0.019 0.121 0.063
O2 O 0.089 0.688 0.217
O3 O 0.115 0.132 0.876
O4 O 0.117 0.222 0.711
O5 O 0.128 0.141 0.546
O6 O 0.134 0.663 0.924
O7 O 0.193 0.115 0.356
O8 O 0.228 0.639 0.635
O9 O 0.300 0.602 0.146
O10 O 0.358 0.622 0.450
O11 O 0.367 0.742 0.797
O12 O 0.386 0.158 0.086
O13 O 0.480 0.634 0.962
```

## Properties
* calculated total energy: -8.03 eV/atom
* energy above the most stable polymorph in this dataset: 44 kJ/mol of formula units
* formation energy from raw total energies: -2.691 eV per atom

Question: Number 2 is which compound?
Answer: ZrMn6Sn6

Question: Among the records above, which one has the lowest calculated total energy?
Answer: Tc2MoP

Question: What is the calculated total energy in the first record?
Answer: -3.54 eV/atom